Here is crystalline ScFeF2 at its relaxed geometry from the Alexandria database. Energies are from GGA+U.

Its total magnetic moment is 4.19 μB per formula unit. The calculation puts the offset from the most stable computed form at 55 kJ/mol of formula units.

It has space group R-3m (No. 166, hexagonal axes), with a = 3.5701 Å, b = 3.5701 Å, c = 18.0065 Å, α = 90.00°, β = 90.00° and γ = 120.00°. Symmetry generates all atoms from Sc at (0.0000, 0.0000, 0.0000), Fe at (0.0000, 0.0000, 0.5000) and F at (0.0000, 0.0000, 0.1176).